Entry 1:
This record from Alexandria via LeMat-Bulk describes crystalline Hf2ScSn4 at its relaxed geometry. The functional is PBE.

Cell and atoms, written as POSCAR:
```
Hf2ScSn4
1.0
-2.664 2.664 7.173
2.664 -2.664 7.173
2.664 2.664 -7.173
Hf Sc Sn
2 1 4
direct
0.099 0.099 0.000
0.901 0.901 0.000
0.500 0.500 0.000
0.000 0.500 0.500
0.301 0.301 0.000
0.500 0.000 0.500
0.699 0.699 0.000
```

Output
- Energy of formation from the pure elements: 0.250 eV per atom
- Final energy: -40.5 eV for the cell shown
- N(E_F): 0.6342 states/eV per atom
- Space group: I4/mmm

---

Entry 2:
This record from Alexandria via LeMat-Bulk describes crystalline LiCa2Mg7 at its relaxed geometry. The functional is PBE.

Cell and atoms, written as POSCAR:
```
LiCa2Mg7
1.0
0.000 5.192 5.192
5.192 0.000 5.192
5.192 5.192 0.000
Li Ca Mg
1 2 7
direct
0.000 0.000 0.000
0.250 0.250 0.250
0.750 0.750 0.750
0.237 0.237 0.763
0.237 0.763 0.237
0.237 0.763 0.763
0.500 0.500 0.500
0.763 0.237 0.237
0.763 0.237 0.763
0.763 0.763 0.237
```

Output
- Energy of formation from the pure elements: 0.186 eV per atom
- Final energy: -15.2 eV for the cell shown
- N(E_F): 0.5181 states/eV per atom
- Space group: Fm-3m

---

Entry 3:
This record from Alexandria via LeMat-Bulk describes crystalline Mg2Sc2Au at its relaxed geometry. The functional is PBE.

Cell and atoms, written as POSCAR:
```
Mg2Sc2Au
1.0
-1.862 1.862 8.419
1.862 -1.862 8.419
1.862 1.862 -8.419
Mg Sc Au
2 2 1
direct
0.250 0.750 0.500
0.750 0.250 0.500
0.088 0.088 0.000
0.912 0.912 0.000
0.500 0.500 0.000
```

Output
- Energy of formation from the pure elements: 0.038 eV per atom
- Final energy: -18.9 eV for the cell shown
- N(E_F): 0.8542 states/eV per atom
- Excess energy over the best structure of this formula in the dataset: 0.172 eV/atom
- Space group: I4/mmm

---

Entry 4:
This record from Alexandria via LeMat-Bulk describes crystalline Ti2InCo2 at its relaxed geometry. The functional is PBE.

Cell and atoms, written as POSCAR:
```
Ti2InCo2
1.0
-1.806 1.806 6.356
1.806 -1.806 6.356
1.806 1.806 -6.356
Ti In Co
2 1 2
direct
0.130 0.130 0.000
0.870 0.870 0.000
0.500 0.500 0.000
0.250 0.750 0.500
0.750 0.250 0.500
```

Output
- Energy of formation from the pure elements: 0.044 eV per atom
- Final energy: -32.5 eV for the cell shown
- N(E_F): 0.8672 states/eV per atom
- Space group: I4/mmm

---

Entry 5:
This record from Alexandria via LeMat-Bulk describes crystalline NaRuCO4 at its relaxed geometry. The functional is PBE.

Cell and atoms, written as POSCAR:
```
NaRuCO4
1.0
2.488 -4.077 0.000
2.488 4.077 0.000
0.000 0.000 6.547
Na Ru C O
2 2 2 8
direct
0.181 0.819 0.750
0.819 0.181 0.250
0.500 0.500 0.000
0.500 0.500 0.500
0.172 0.828 0.250
0.828 0.172 0.750
0.185 0.300 0.750
0.255 0.745 0.076
0.255 0.745 0.424
0.300 0.185 0.250
0.700 0.815 0.750
0.745 0.255 0.576
0.745 0.255 0.924
0.815 0.700 0.250
```

Output
- Final energy: -93.6 eV for the cell shown
- N(E_F): 0.4967 states/eV per atom
- Space group: Cmcm
- ΔE_f (raw): -1.0178 eV per atom

---

Entry 6:
This record from Alexandria via LeMat-Bulk describes crystalline RbCeB2H8 at its relaxed geometry. The functional is PBE.

Cell and atoms, written as POSCAR:
```
RbCeB2H8
1.0
2.089 1.206 8.327
-2.089 1.206 8.327
0.000 -2.412 8.327
Rb Ce B H
1 1 2 8
direct
0.000 0.000 0.000
0.500 0.500 0.500
0.240 0.240 0.240
0.760 0.760 0.760
0.061 0.061 0.548
0.061 0.548 0.061
0.289 0.289 0.289
0.452 0.939 0.939
0.548 0.061 0.061
0.711 0.711 0.711
0.939 0.452 0.939
0.939 0.939 0.452
```

Output
- Final energy: -50.6 eV for the cell shown
- N(E_F): 0.5130 states/eV per atom
- Space group: R-3m